Record 1
Tb2Y5TmSc: optimized geometry, PBE-GGA.

abc: 5.5078 20.3777 10.2022
angles: 90.00 90.00 90.00
Space group Cmc2_1 (No. 36)
Asymmetric unit:
Tb (0.0000, 0.1091, 0.0000) [4 per cell]
Tb (0.0000, 0.1173, 0.4204) [4 per cell]
Y (0.0000, 0.0161, 0.6995) [4 per cell]
Y (0.0000, 0.2653, 0.0269) [4 per cell]
Y (0.0000, 0.3021, 0.3872) [4 per cell]
Y (0.0000, 0.3651, 0.7099) [4 per cell]
Y (0.0000, 0.4829, 0.4248) [4 per cell]
Tm (0.0000, 0.4037, 0.1339) [4 per cell]
Sc (0.0000, 0.1881, 0.7077) [4 per cell]

Summary:
VASP energy (eV per atom): -5.664
E_form (eV per atom): 0.157
Total magnetization (μB/f.u.): 0.000

Record 2
TbY2TmSc4: optimized geometry, PBE-GGA.

abc: 4.8781 4.8781 9.3819
angles: 90.00 90.00 90.00
Space group P4/mmm (No. 123)
Asymmetric unit:
Tb (0.0000, 0.0000, 0.0000) [1 per cell]
Y (0.0000, 0.0000, 0.5000) [1 per cell]
Y (0.5000, 0.5000, 0.0000) [1 per cell]
Tm (0.5000, 0.5000, 0.5000) [1 per cell]
Sc (0.0000, 0.5000, 0.2508) [4 per cell]

Summary:
VASP energy (eV per atom): -5.862
E_form (eV per atom): 0.058
Total magnetization (μB/f.u.): 0.001

Record 3
TbYTm5Sc2: optimized geometry, PBE-GGA.

abc: 5.5241 21.2437 9.2361
angles: 90.00 90.00 90.00
Space group Cmc2_1 (No. 36)
Asymmetric unit:
Tb (0.0000, 0.1867, 0.0000) [4 per cell]
Y (0.0000, 0.4026, 0.5982) [4 per cell]
Tm (0.0000, 0.0090, 0.9981) [4 per cell]
Tm (0.0000, 0.2640, 0.6806) [4 per cell]
Tm (0.0000, 0.3077, 0.2966) [4 per cell]
Tm (0.0000, 0.3918, 0.9718) [4 per cell]
Tm (0.0000, 0.4686, 0.2689) [4 per cell]
Sc (0.0000, 0.1127, 0.6949) [4 per cell]
Sc (0.0000, 0.1406, 0.3233) [4 per cell]

Summary:
VASP energy (eV per atom): -4.949
E_form (eV per atom): 0.175
Total magnetization (μB/f.u.): 0.000

Record 4
Tb5Y2TmSc: optimized geometry, PBE-GGA.

abc: 5.5314 19.9498 10.3608
angles: 90.00 90.00 90.00
Space group Cmc2_1 (No. 36)
Asymmetric unit:
Tb (0.0000, 0.0163, 0.0000) [4 per cell]
Tb (0.0000, 0.1235, 0.2786) [4 per cell]
Tb (0.0000, 0.2000, 0.9635) [4 per cell]
Tb (0.0000, 0.2244, 0.5783) [4 per cell]
Tb (0.0000, 0.4822, 0.2743) [4 per cell]
Y (0.0000, 0.3859, 0.9953) [4 per cell]
Y (0.0000, 0.3888, 0.5692) [4 per cell]
Tm (0.0000, 0.0926, 0.7186) [4 per cell]
Sc (0.0000, 0.3048, 0.2736) [4 per cell]

Summary:
VASP energy (eV per atom): -5.048
E_form (eV per atom): 0.161
Total magnetization (μB/f.u.): 0.000

Record 5
Tb5YTm2Sc: optimized geometry, PBE-GGA.

abc: 5.5180 19.9961 10.2897
angles: 90.00 90.00 90.00
Space group Cmc2_1 (No. 36)
Asymmetric unit:
Tb (0.0000, 0.0160, 0.0000) [4 per cell]
Tb (0.0000, 0.2744, 0.6947) [4 per cell]
Tb (0.0000, 0.3001, 0.3081) [4 per cell]
Tb (0.0000, 0.3771, 0.9937) [4 per cell]
Tb (0.0000, 0.4824, 0.2736) [4 per cell]
Y (0.0000, 0.4070, 0.5589) [4 per cell]
Tm (0.0000, 0.1115, 0.7067) [4 per cell]
Tm (0.0000, 0.1149, 0.2777) [4 per cell]
Sc (0.0000, 0.1952, 0.9996) [4 per cell]

Summary:
VASP energy (eV per atom): -4.815
E_form (eV per atom): 0.172
Total magnetization (μB/f.u.): 0.000

Record 6
Tb3Y2Tm6Sc: optimized geometry, PBE-GGA.

abc: 6.0685 10.5003 11.6023
angles: 90.00 100.02 90.00
Space group C2/m (No. 12)
Asymmetric unit:
Tb (0.0000, 0.0000, 0.0000) [2 per cell]
Tb (0.0000, 0.3335, 0.0000) [4 per cell]
Y (0.0000, 0.1666, 0.5000) [4 per cell]
Tm (0.2470, 0.3348, 0.7478) [8 per cell]
Tm (0.2487, 0.5000, 0.2520) [4 per cell]
Sc (0.0000, 0.5000, 0.5000) [2 per cell]

Summary:
VASP energy (eV per atom): -4.966
E_form (eV per atom): 0.032
Total magnetization (μB/f.u.): 0.000